# 1
First-principles (PBE-GGA) data for crystalline NdTaS4 at its relaxed geometry, as listed in Alexandria via LeMat-Bulk.

a = 6.5934 Å, b = 6.4748 Å, c = 6.6122 Å
α = 90.00°, β = 100.15°, γ = 90.00°
Atoms (fractional coordinates):
Nd 0.0000 0.0000 0.0000
Nd 0.0000 0.5000 0.5000
Ta 0.5000 0.0000 0.5000
Ta 0.5000 0.5000 0.0000
S 0.1701 0.1420 0.3944
S 0.1701 0.3580 0.8944
S 0.3624 0.6907 0.2778
S 0.3624 0.8093 0.7778
S 0.6376 0.1907 0.2222
S 0.6376 0.3093 0.7222
S 0.8299 0.6420 0.1056
S 0.8299 0.8580 0.6056

Properties
energy above the most stable polymorph in this dataset = 160 meV/atom
calculated density = 5.420 Mg/m³
energy relative to the elements, uncorrected = -1.184 eV per atom
total magnetization = 0.000 μB per atom

---

# 2
First-principles (PBE-GGA) data for crystalline SrGaCu2Pd4 at its relaxed geometry, as listed in Alexandria via LeMat-Bulk.

a = 9.0897 Å, b = 9.0897 Å, c = 9.0897 Å
α = 27.53°, β = 27.53°, γ = 27.53°
Atoms (fractional coordinates):
Sr 0.0000 0.0000 0.0000
Ga 0.5000 0.5000 0.5000
Cu 0.2395 0.2395 0.2395
Cu 0.7605 0.7605 0.7605
Pd 0.1324 0.1324 0.1324
Pd 0.4064 0.4064 0.4064
Pd 0.5936 0.5936 0.5936
Pd 0.8676 0.8676 0.8676

Properties
calculated density = 8.329 Mg/m³
total magnetization = 0.000 μB per atom
DFT formation energy = -3.2 eV per formula unit

---

# 3
First-principles (PBE-GGA) data for crystalline SrEuSnSbO6 at its relaxed geometry, as listed in Alexandria via LeMat-Bulk.

a = 5.8964 Å, b = 5.8964 Å, c = 5.8964 Å
α = 60.00°, β = 60.00°, γ = 60.00°
Atoms (fractional coordinates):
Sr 0.0000 0.0000 0.0000
Eu 0.5000 0.5000 0.5000
Sn 0.2500 0.2500 0.2500
Sb 0.7500 0.7500 0.7500
O 0.5018 0.5018 0.9982
O 0.5018 0.9982 0.5018
O 0.5018 0.9982 0.9982
O 0.9982 0.5018 0.5018
O 0.9982 0.5018 0.9982
O 0.9982 0.9982 0.5018

Properties
calculated density = 6.599 Mg/m³
energy relative to the elements, uncorrected = -2.032 eV per atom
total magnetization = 0.696 μB per atom

---

# 4
First-principles (PBE-GGA) data for crystalline CsLiTe2 at its relaxed geometry, as listed in Alexandria via LeMat-Bulk.

a = 5.9908 Å, b = 5.9908 Å, c = 5.9908 Å
α = 65.43°, β = 65.43°, γ = 65.43°
Atoms (fractional coordinates):
Cs 0.0000 0.0000 0.0000
Li 0.4982 0.4982 0.4982
Te 0.3126 0.3126 0.3126
Te 0.6839 0.6839 0.6839

Properties
energy above the most stable polymorph in this dataset = 355 meV/atom
calculated density = 3.859 Mg/m³
energy relative to the elements, uncorrected = -0.470 eV per atom
total magnetization = 0.000 μB per atom

---

# 5
First-principles (PBE-GGA) data for crystalline PmDyTePb at its relaxed geometry, as listed in Alexandria via LeMat-Bulk.

a = 7.7456 Å, b = 7.7456 Å, c = 7.7456 Å
α = 33.54°, β = 33.54°, γ = 33.54°
Atoms (fractional coordinates):
Pm 0.0000 0.0000 0.0000
Dy 0.4946 0.4946 0.4946
Te 0.2447 0.2447 0.2447
Pb 0.7495 0.7495 0.7495

Properties
calculated density = 8.443 Mg/m³
energy relative to the elements, uncorrected = -0.971 eV per atom
total magnetization = 0.000 μB per atom

---

# 6
First-principles (PBE-GGA) data for crystalline InSi2Se6 at its relaxed geometry, as listed in Alexandria via LeMat-Bulk.

a = 9.5164 Å, b = 9.5164 Å, c = 6.3206 Å
α = 106.75°, β = 106.75°, γ = 94.49°
Atoms (fractional coordinates):
In 0.2108 0.7892 0.7500
In 0.7892 0.2108 0.2500
Si 0.2081 0.3542 0.6768
Si 0.3542 0.2081 0.1768
Si 0.6458 0.7919 0.8232
Si 0.7919 0.6458 0.3232
Se 0.0049 0.1792 0.6053
Se 0.1458 0.5645 0.8858
Se 0.1792 0.0049 0.1053
Se 0.2734 0.4117 0.3830
Se 0.4117 0.2734 0.8830
Se 0.4355 0.8542 0.6142
Se 0.5645 0.1458 0.3858
Se 0.5883 0.7266 0.1170
Se 0.7266 0.5883 0.6170
Se 0.8208 0.9951 0.8947
Se 0.8542 0.4355 0.1142
Se 0.9951 0.8208 0.3947

Properties
calculated density = 4.145 Mg/m³
energy relative to the elements, uncorrected = -0.338 eV per atom
total magnetization = 0.000 μB per atom

---

# 7
First-principles (PBE-GGA) data for crystalline LiAc4Si3 at its relaxed geometry, as listed in Alexandria via LeMat-Bulk.

a = 4.2291 Å, b = 4.6794 Å, c = 11.9199 Å
α = 90.00°, β = 90.00°, γ = 90.00°
Atoms (fractional coordinates):
Li 0.0000 0.0000 0.0000
Ac 0.0000 0.0000 0.6847
Ac 0.0000 0.5000 0.1974
Ac 0.5000 0.0000 0.4086
Ac 0.5000 0.5000 0.9085
Si 0.0000 0.5000 0.4855
Si 0.5000 0.0000 0.1230
Si 0.5000 0.5000 0.6100

Properties
calculated density = 7.034 Mg/m³
energy relative to the elements, uncorrected = -0.416 eV per atom
total magnetization = 0.000 μB per atom

---

# 8
First-principles (PBE-GGA) data for crystalline HfTi2Be2Ir5 at its relaxed geometry, as listed in Alexandria via LeMat-Bulk.

a = 9.3183 Å, b = 9.3183 Å, c = 3.2897 Å
α = 90.00°, β = 90.00°, γ = 90.00°
Atoms (fractional coordinates):
Hf 0.0000 0.0000 0.0000
Hf 0.5000 0.5000 0.0000
Ti 0.1741 0.3259 0.0000
Ti 0.3259 0.8259 0.0000
Ti 0.6741 0.1741 0.0000
Ti 0.8259 0.6741 0.0000
Be 0.1198 0.6198 0.0000
Be 0.3802 0.1198 0.0000
Be 0.6198 0.8802 0.0000
Be 0.8802 0.3802 0.0000
Ir 0.0000 0.5000 0.5000
Ir 0.0757 0.7854 0.5000
Ir 0.2146 0.0757 0.5000
Ir 0.2854 0.5757 0.5000
Ir 0.4243 0.2854 0.5000
Ir 0.5000 0.0000 0.5000
Ir 0.5757 0.7146 0.5000
Ir 0.7146 0.4243 0.5000
Ir 0.7854 0.9243 0.5000
Ir 0.9243 0.2146 0.5000

Properties
calculated density = 14.572 Mg/m³
total magnetization = 0.000 μB per atom
DFT formation energy = -7.7 eV per formula unit